Below is a relaxed FeGe2Rh crystal, with properties calculated at the PBE level.

Output
M_tot = 0.33 μB/atom
Excess energy over the best structure of this formula in the dataset = 21 meV/atom
Energy relative to the elements = -0.13 eV per atom
Mass density = 9.230 g/cm³

abc: 4.259 4.259 3.015
angles: 90.00 90.00 90.00
Space group P4/mmm (No. 123)
One atom of each set of equivalent atoms:
1 Fe 0.000 0.000 0.000 (multiplicity 1)
2 Ge 0.000 0.500 0.500 (multiplicity 2)
3 Rh 0.500 0.500 0.000 (multiplicity 1)